Compound: CaMgCdBi
Source: Alexandria via LeMat-Bulk
Functional: GGA-PBE
Structure: relaxed

Unit cell a=5.407 b=5.407 c=5.407 alpha=60.00 beta=60.00 gamma=60.00
Fractional positions:
Mg (0.500, 0.500, 0.500)
Ca (0.000, 0.000, 0.000)
Bi (0.250, 0.250, 0.250)
Cd (0.750, 0.750, 0.750)

Space-group type   F-43m
Magnetization   0.00 μB/f.u.
E_form   -0.3179 eV per atom
D(E_F)   2.97 states/eV per cell
Total energy   -9.664 eV/cell